KSrC3 | PBE-GGA | optimized geometry

space group: Pm-3m, No. 221
DOS(E_F): 0.185 states/eV/atom
magnetization: 9.00 μB/cell
calculated volume: 31.91 Å³ per atom
energy above the most stable polymorph in this dataset: 0.000 eV per atom

Lattice parameters (Å, degrees): 5.423 5.423 5.423 90.00 90.00 90.00
Fractional positions:
K1 0.000 0.000 0.000
Sr1 0.500 0.500 0.500
C1 0.000 0.500 0.500
C2 0.500 0.000 0.500
C3 0.500 0.500 0.000


LaDyGeAu | PBE-GGA | optimized geometry

space group: F-43m, No. 216
DOS(E_F): 1.010 states/eV/atom
magnetization: 2.45 μB/cell
uncorrected energy: -5.09 eV per atom
calculated volume: 25.17 Å³ per atom

Lattice parameters (Å, degrees): 7.385 7.385 7.385 90.00 90.00 90.00
Fractional positions:
La1 0.000 0.000 0.000
La2 0.000 0.500 0.500
La3 0.500 0.000 0.500
La4 0.500 0.500 0.000
Dy1 0.000 0.000 0.500
Dy2 0.000 0.500 0.000
Dy3 0.500 0.000 0.000
Dy4 0.500 0.500 0.500
Ge1 0.250 0.250 0.250
Ge2 0.250 0.750 0.750
Ge3 0.750 0.250 0.750
Ge4 0.750 0.750 0.250
Au1 0.250 0.250 0.750
Au2 0.250 0.750 0.250
Au3 0.750 0.250 0.250
Au4 0.750 0.750 0.750


Tb16Nd7Tm6 | PBE-GGA | optimized geometry

space group: Fm-3m, No. 225
DOS(E_F): 1.838 states/eV/atom
magnetization: 0.00 μB/cell
uncorrected energy: -4.37 eV per atom
calculated volume: 34.34 Å³ per atom

Lattice parameters (Å, degrees): 11.210 11.210 11.210 60.00 60.00 60.00
Fractional positions:
Tb1 0.049 0.650 0.650
Tb2 0.127 0.127 0.127
Tb3 0.127 0.127 0.620
Tb4 0.127 0.620 0.127
Tb5 0.350 0.350 0.350
Tb6 0.350 0.350 0.951
Tb7 0.350 0.951 0.350
Tb8 0.380 0.873 0.873
Tb9 0.620 0.127 0.127
Tb10 0.650 0.049 0.650
Tb11 0.650 0.650 0.049
Tb12 0.650 0.650 0.650
Tb13 0.873 0.380 0.873
Tb14 0.873 0.873 0.380
Tb15 0.873 0.873 0.873
Tb16 0.951 0.350 0.350
Nd1 0.000 0.000 0.000
Nd2 0.000 0.000 0.500
Nd3 0.000 0.500 0.000
Nd4 0.000 0.500 0.500
Nd5 0.500 0.000 0.000
Nd6 0.500 0.000 0.500
Nd7 0.500 0.500 0.000
Tm1 0.261 0.261 0.739
Tm2 0.261 0.739 0.261
Tm3 0.261 0.739 0.739
Tm4 0.739 0.261 0.261
Tm5 0.739 0.261 0.739
Tm6 0.739 0.739 0.261


AlOsPt2 | PBE-GGA | optimized geometry

space group: Imm2, No. 44
DOS(E_F): 0.900 states/eV/atom
magnetization: 0.00 μB/cell
uncorrected energy: -7.01 eV per atom
calculated volume: 15.00 Å³ per atom

Lattice parameters (Å, degrees): 2.770 4.639 9.339 90.00 90.00 90.00
Fractional positions:
Al1 0.000 0.000 0.000
Al2 0.500 0.500 0.500
Os1 0.000 0.500 0.268
Os2 0.500 0.000 0.768
Pt1 0.000 0.000 0.508
Pt2 0.000 0.500 0.728
Pt3 0.500 0.000 0.228
Pt4 0.500 0.500 0.008


Ca6Ag16N | PBE-GGA | optimized geometry

space group: Im-3m, No. 229
DOS(E_F): 0.304 states/eV/atom
magnetization: 0.00 μB/cell
calculated volume: 21.14 Å³ per atom
energy relative to the elements, uncorrected: -0.294 eV per atom

Lattice parameters (Å, degrees): 8.580 8.580 8.580 109.47 109.47 109.47
Fractional positions:
Ca1 0.000 0.256 0.256
Ca2 0.000 0.744 0.744
Ca3 0.256 0.000 0.256
Ca4 0.256 0.256 0.000
Ca5 0.744 0.000 0.744
Ca6 0.744 0.744 0.000
Ag1 0.000 0.000 0.500
Ag2 0.000 0.347 0.653
Ag3 0.000 0.500 0.000
Ag4 0.000 0.653 0.347
Ag5 0.306 0.653 0.653
Ag6 0.347 0.000 0.653
Ag7 0.347 0.347 0.694
Ag8 0.347 0.653 0.000
Ag9 0.347 0.694 0.347
Ag10 0.500 0.000 0.000
Ag11 0.500 0.500 0.500
Ag12 0.653 0.000 0.347
Ag13 0.653 0.306 0.653
Ag14 0.653 0.347 0.000
Ag15 0.653 0.653 0.306
Ag16 0.694 0.347 0.347
N1 0.000 0.000 0.000


La2Sm2YHo4 | PBE-GGA | optimized geometry

space group: C2/m, No. 12
DOS(E_F): 1.484 states/eV/atom
magnetization: 0.00 μB/cell
uncorrected energy: -4.89 eV per atom
calculated volume: 33.11 Å³ per atom

Lattice parameters (Å, degrees): 9.598 9.598 9.654 115.26 115.26 21.84
Fractional positions:
La1 0.166 0.166 0.001
La2 0.834 0.834 0.999
Sm1 0.353 0.353 0.337
Sm2 0.647 0.647 0.663
Y1 0.500 0.500 0.000
Ho1 0.020 0.020 0.335
Ho2 0.315 0.315 0.662
Ho3 0.685 0.685 0.338
Ho4 0.980 0.980 0.665


K2SrCr | PBE-GGA | optimized geometry

space group: I4/mmm, No. 139
DOS(E_F): 0.628 states/eV/atom
magnetization: 10.28 μB/cell
calculated volume: 46.39 Å³ per atom
energy above the most stable polymorph in this dataset: 0.109 eV per atom

Lattice parameters (Å, degrees): 5.271 5.271 13.355 90.00 90.00 90.00
Fractional positions:
K1 0.000 0.500 0.250
K2 0.000 0.500 0.750
K3 0.500 0.000 0.250
K4 0.500 0.000 0.750
Sr1 0.000 0.000 0.000
Sr2 0.500 0.500 0.500
Cr1 0.000 0.000 0.500
Cr2 0.500 0.500 0.000


KGe2B | PBE-GGA | optimized geometry

space group: I-42d, No. 122
DOS(E_F): 0.314 states/eV/atom
magnetization: 0.00 μB/cell
uncorrected energy: -3.74 eV per atom
calculated volume: 25.07 Å³ per atom

Lattice parameters (Å, degrees): 6.543 6.543 9.370 90.00 90.00 90.00
Fractional positions:
K1 0.000 0.000 0.000
K2 0.000 0.500 0.250
K3 0.500 0.000 0.750
K4 0.500 0.500 0.500
Ge1 0.095 0.250 0.625
Ge2 0.250 0.595 0.875
Ge3 0.250 0.905 0.375
Ge4 0.405 0.250 0.125
Ge5 0.595 0.750 0.125
Ge6 0.750 0.095 0.375
Ge7 0.750 0.405 0.875
Ge8 0.905 0.750 0.625
B1 0.000 0.000 0.500
B2 0.000 0.500 0.750
B3 0.500 0.000 0.250
B4 0.500 0.500 0.000


Sb5C | PBE-GGA | optimized geometry

space group: P-62m, No. 189
DOS(E_F): 0.741 states/eV/atom
magnetization: 0.00 μB/cell
calculated volume: 26.06 Å³ per atom
energy above the most stable polymorph in this dataset: 0.214 eV per atom
energy relative to the elements, uncorrected: 0.779 eV per atom

Lattice parameters (Å, degrees): 7.254 7.254 3.431 90.00 90.00 120.00
Fractional positions:
Sb1 0.000 0.745 0.000
Sb2 0.255 0.255 0.000
Sb3 0.333 0.667 0.500
Sb4 0.667 0.333 0.500
Sb5 0.745 0.000 0.000
C1 0.000 0.000 0.500


Tm6P5 | PBE-GGA | optimized geometry

space group: C2/m, No. 12
DOS(E_F): 0.314 states/eV/atom
magnetization: 0.00 μB/cell
uncorrected energy: -6.36 eV per atom
calculated volume: 23.21 Å³ per atom

Lattice parameters (Å, degrees): 6.780 6.780 6.796 99.59 99.59 119.92
Fractional positions:
Tm1 0.076 0.416 0.748
Tm2 0.245 0.245 0.255
Tm3 0.416 0.076 0.748
Tm4 0.584 0.924 0.252
Tm5 0.755 0.755 0.745
Tm6 0.924 0.584 0.252
P1 0.000 0.000 0.500
P2 0.167 0.833 0.000
P3 0.334 0.666 0.500
P4 0.666 0.334 0.500
P5 0.833 0.167 0.000


BeFePIr | PBE-GGA | optimized geometry

space group: F-43m, No. 216
DOS(E_F): 0.452 states/eV/atom
magnetization: 0.56 μB/cell
uncorrected energy: -6.97 eV per atom
calculated volume: 10.82 Å³ per atom

Lattice parameters (Å, degrees): 5.574 5.574 5.574 90.00 90.00 90.00
Fractional positions:
Be1 0.000 0.000 0.000
Be2 0.000 0.500 0.500
Be3 0.500 0.000 0.500
Be4 0.500 0.500 0.000
Fe1 0.250 0.250 0.250
Fe2 0.250 0.750 0.750
Fe3 0.750 0.250 0.750
Fe4 0.750 0.750 0.250
P1 0.000 0.000 0.500
P2 0.000 0.500 0.000
P3 0.500 0.000 0.000
P4 0.500 0.500 0.500
Ir1 0.250 0.250 0.750
Ir2 0.250 0.750 0.250
Ir3 0.750 0.250 0.250
Ir4 0.750 0.750 0.750


Ta3ZnPb | PBE-GGA | optimized geometry

space group: Pm-3m, No. 221
DOS(E_F): 1.641 states/eV/atom
magnetization: 0.00 μB/cell
calculated volume: 26.70 Å³ per atom
energy above the most stable polymorph in this dataset: 1.197 eV per atom

Lattice parameters (Å, degrees): 5.111 5.111 5.111 90.00 90.00 90.00
Fractional positions:
Ta1 0.000 0.000 0.500
Ta2 0.000 0.500 0.000
Ta3 0.500 0.000 0.000
Zn1 0.500 0.500 0.500
Pb1 0.000 0.000 0.000